{"formula": "Tb5SmEr7", "functional": "GGA-PBE", "state": "optimized geometry", "cell": [[-3.327, 5.530, 5.749], [3.327, -5.530, 5.749], [3.327, 5.530, -5.749]], "species": ["Tb", "Tb", "Tb", "Tb", "Tb", "Sm", "Er", "Er", "Er", "Er", "Er", "Er", "Er"], "frac_coords": [[0.000, 0.000, 0.000], [0.228, 0.268, 0.496], [0.228, 0.732, 0.960], [0.772, 0.268, 0.040], [0.772, 0.732, 0.504], [0.200, 0.700, 0.500], [0.083, 0.252, 0.831], [0.421, 0.252, 0.169], [0.502, 0.502, 0.000], [0.504, 0.004, 0.500], [0.581, 0.750, 0.831], [0.809, 0.309, 0.500], [0.919, 0.750, 0.169]], "crystal_system": "orthorhombic", "e_tot_ev_per_cell": -56.5, "mass_density_g_cm3": 8.30, "ef_ev_per_atom": 0.257, "dos_ef_per_ev_atom": 1.8809}